Material: ScCu2Br
Method: DFT, GGA-PBE
State: optimized geometry

Cell: 6.638 6.638 6.638 Å, 90.00 90.00 90.00°
Space group Fm-3m (No. 225)
Symmetry-distinct sites (fractional):
Sc  0.000  0.000  0.000 x4
Cu  0.250  0.250  0.250 x8
Br  0.000  0.000  0.500 x4

raw formation energy = 1.039 eV per formula unit
excess energy over the best structure of this formula in the dataset = 13.66 kcal/mol of atoms


Material: ScCu2Br
Method: DFT, GGA-PBE
State: optimized geometry

Cell: 3.298 3.298 7.443 Å, 90.00 90.00 90.00°
Space group P4mm (No. 99)
Symmetry-distinct sites (fractional):
Sc  0.000  0.000  0.000 x1
Cu  0.000  0.000  0.651 x1
Cu  0.500  0.500  0.766 x1
Br  0.500  0.500  0.225 x1

raw formation energy = -1.071 eV per formula unit
excess energy over the best structure of this formula in the dataset = 1.49 kcal/mol of atoms


Material: ScCuSeBr2
Method: DFT, GGA-PBE
State: optimized geometry

Cell: 5.219 5.219 5.287 Å, 90.00 90.00 90.00°
Space group P4/mmm (No. 123)
Symmetry-distinct sites (fractional):
Sc  0.000  0.000  0.000 x1
Cu  0.500  0.500  0.500 x1
Se  0.000  0.000  0.500 x1
Br  0.000  0.500  0.000 x2

raw formation energy = -2.562 eV per formula unit
excess energy over the best structure of this formula in the dataset = 0.00 kcal/mol of atoms


Material: ScCuSeBr2
Method: DFT, GGA-PBE
State: optimized geometry

Cell: 4.897 4.897 5.022 Å, 90.00 90.00 90.00°
Space group P4/mmm (No. 123)
Symmetry-distinct sites (fractional):
Sc  0.000  0.000  0.000 x1
Cu  0.500  0.500  0.500 x1
Se  0.500  0.500  0.000 x1
Br  0.000  0.500  0.500 x2

raw formation energy = -1.269 eV per formula unit
excess energy over the best structure of this formula in the dataset = 5.97 kcal/mol of atoms


Material: ScTlCuBr6
Method: DFT, GGA-PBE
State: optimized geometry

Cell: 6.8831 6.8831 7.2582 Å, 90.00 90.00 120.00°
Space group P312 (No. 149)
Symmetry-distinct sites (fractional):
Sc  0.0000  0.0000  0.0000 x1
Tl  0.6667  0.3333  0.5000 x1
Cu  0.3333  0.6667  0.0000 x1
Br  0.0442  0.3386  0.2090 x6

raw formation energy = -9.080 eV per formula unit


Material: ScCuW2Br
Method: DFT, GGA-PBE
State: optimized geometry

Cell: 4.608 4.608 4.856 Å, 90.00 90.00 90.00°
Space group P4/mmm (No. 123)
Symmetry-distinct sites (fractional):
Sc  0.000  0.000  0.000 x1
Cu  0.500  0.500  0.000 x1
W  0.000  0.500  0.500 x2
Br  0.000  0.000  0.500 x1

raw formation energy = 8.386 eV per formula unit


Material: YScCuBr2
Method: DFT, GGA-PBE
State: optimized geometry

Cell: 5.090 5.090 5.192 Å, 90.00 90.00 90.00°
Space group P4/mmm (No. 123)
Symmetry-distinct sites (fractional):
Y  0.000  0.000  0.000 x1
Sc  0.500  0.500  0.500 x1
Cu  0.500  0.500  0.000 x1
Br  0.000  0.500  0.500 x2

raw formation energy = -1.248 eV per formula unit


Material: CuSe3Br3
Method: DFT, GGA-PBE
State: optimized geometry

Cell: 8.8709 8.8709 23.1142 Å, 90.00 90.00 120.00°
Space group R-3 (No. 148, hexagonal axes)
Symmetry-distinct sites (fractional):
Cu  0.0000  0.0000  0.2384 x6
Se  0.0894  0.9044  0.9364 x18
Br  0.0411  0.4459  0.9024 x18

raw formation energy = -0.317 eV per formula unit


- Look up the raw formation energy of the first one.
  1.039 eV per formula unit